Model i:
5
Lattice="6.5607 0.0000 0.0000 0.0000 6.5607 0.0000 0.0000 0.0000 3.7839" Properties=species:S:1:pos:R:3 comment="CsMnI2O, optimized geometry, DFT PBE+U" space_group="P4/mmm (123)" pbc="T T T"
Cs 3.2804 3.2804 1.8920
I 0.0000 3.2804 0.0000
I 3.2804 0.0000 0.0000
O 0.0000 0.0000 1.8920
Mn 0.0000 0.0000 0.0000

Model ii:
5
Lattice="6.9080 0.0000 0.0000 0.0000 6.9080 0.0000 0.0000 0.0000 4.4234" Properties=species:S:1:pos:R:3 comment="CsMnI2O, optimized geometry, DFT PBE+U" space_group="P4/mmm (123)" pbc="T T T"
I 3.4540 0.0000 0.0000
I 0.0000 3.4540 0.0000
Mn 3.4540 3.4540 2.2117
Cs 0.0000 0.0000 0.0000
O 0.0000 0.0000 2.2117

Stability verdict: model i, ahead by 1.255 eV/atom